Entry 1:
This record from the Alexandria database describes a relaxed structure of Ho7Al4Cd. The functional is PBE-GGA.

The value obtained for the formation energy is -110.0 meV/atom.

It has space group C2/m (No. 12), with a = 13.831 Å, b = 5.596 Å, c = 9.217 Å, α = 90.00°, β = 118.57° and γ = 90.00°. The inequivalent atoms are Ho at (0.000, 0.000, 0.000), Ho at (0.084, 0.500, 0.427), Ho at (0.188, 0.500, 0.868), Ho at (0.246, 0.000, 0.713), Al at (0.024, 0.000, 0.666), Al at (0.174, 0.000, 0.341) and Cd at (0.000, 0.500, 0.000).



Entry 2:
This record from the Alexandria database describes a relaxed structure of K3Np2TlTe6. The functional is PBE-GGA.

For the uncorrected formation energy, the calculation gives -0.809 eV/atom.

It has space group C2/m (No. 12), with a = 8.079 Å, b = 13.986 Å, c = 8.517 Å, α = 90.00°, β = 108.57° and γ = 90.00°. The inequivalent atoms are K at (0.000, 0.000, 0.000), K at (0.000, 0.345, 0.000), Np at (0.000, 0.168, 0.500), Tl at (0.000, 0.500, 0.500), Te at (0.206, 0.000, 0.707) and Te at (0.247, 0.182, 0.290).



Number 1: M_tot 0.0 μB/f.u., D(E_F) 24.262 states/eV per cell. Number 2: M_tot 6.0 μB/f.u., D(E_F) 33.139 states/eV per cell.